No. 1
A plane-wave DFT calculation with PBE was carried out for crystalline AcDyIr at its relaxed geometry.

Geometry as CIF:
```
data_AcDyIr
_chemical_formula_sum 'Ac1 Dy1 Ir1'
_cell_length_a 4.2728
_cell_length_b 4.2728
_cell_length_c 6.4776
_cell_angle_alpha 90.00
_cell_angle_beta 90.00
_cell_angle_gamma 120.00
_space_group_name_H-M_alt 'P 3 m 1'
_space_group_IT_number 156
_space_group_name_Hall 'P 3 -2"'
loop_
_atom_site_label
_atom_site_fract_x
_atom_site_fract_y
_atom_site_fract_z
Ac1 0.0000 0.0000 0.0000
Dy1 0.3333 0.6667 0.5468
Ir1 0.6667 0.3333 0.7482
```

Properties
Crystal system: trigonal
DOS at the Fermi energy: 0.699 states/eV/atom
Size of the total moment: 0.0 μB per cell
Formation enthalpy at 0 K: -1.65 eV/f.u.
Energy relative to the lowest polymorph listed for this composition: 66 meV per atom

***

No. 2
A plane-wave DFT calculation with PBE was carried out for crystalline LiAcDyIr at its relaxed geometry.

Geometry as CIF:
```
data_LiAcDyIr
_chemical_formula_sum 'Li4 Ac4 Dy4 Ir4'
_cell_length_a 7.287
_cell_length_b 7.287
_cell_length_c 7.287
_cell_angle_alpha 90.00
_cell_angle_beta 90.00
_cell_angle_gamma 90.00
_space_group_name_H-M_alt 'F -4 3 m'
_space_group_IT_number 216
_space_group_name_Hall 'F -4 2 3'
loop_
_atom_site_label
_atom_site_fract_x
_atom_site_fract_y
_atom_site_fract_z
Li1 0.000 0.000 0.000
Ac1 0.250 0.250 0.250
Dy1 0.250 0.250 0.750
Ir1 0.000 0.000 0.500
```

Properties
Crystal system: cubic
DOS at the Fermi energy: 0.786 states/eV/atom
Size of the total moment: 0.0 μB per cell
Formation enthalpy at 0 K: -1.46 eV/f.u.

***

No. 3
A plane-wave DFT calculation with PBE was carried out for crystalline AcDy2IrN4 at its relaxed geometry.

Geometry as CIF:
```
data_AcDy2IrN4
_chemical_formula_sum 'Ac4 Dy8 Ir4 N16'
_cell_length_a 3.491
_cell_length_b 12.077
_cell_length_c 11.700
_cell_angle_alpha 90.00
_cell_angle_beta 90.00
_cell_angle_gamma 90.00
_space_group_name_H-M_alt 'C m c m'
_space_group_IT_number 63
_space_group_name_Hall '-C 2c 2'
loop_
_atom_site_label
_atom_site_fract_x
_atom_site_fract_y
_atom_site_fract_z
Ac1 0.000 0.107 0.250
Dy1 0.000 0.370 0.044
Ir1 0.000 0.154 0.750
N1 0.000 0.000 0.000
N2 0.000 0.268 0.622
N3 0.000 0.438 0.250
```

Properties
Raw formation energy: -0.910 eV per atom
Crystal system: orthorhombic
DOS at the Fermi energy: 0.437 states/eV/atom
Size of the total moment: 0.0 μB per cell

***

No. 4
A plane-wave DFT calculation with PBE was carried out for crystalline AcDyNiIr at its relaxed geometry.

Geometry as CIF:
```
data_AcDyNiIr
_chemical_formula_sum 'Ac4 Dy4 Ni4 Ir4'
_cell_length_a 7.118
_cell_length_b 7.118
_cell_length_c 7.118
_cell_angle_alpha 90.00
_cell_angle_beta 90.00
_cell_angle_gamma 90.00
_space_group_name_H-M_alt 'F -4 3 m'
_space_group_IT_number 216
_space_group_name_Hall 'F -4 2 3'
loop_
_atom_site_label
_atom_site_fract_x
_atom_site_fract_y
_atom_site_fract_z
Ac1 0.000 0.000 0.000
Dy1 0.000 0.000 0.500
Ni1 0.250 0.250 0.750
Ir1 0.250 0.250 0.250
```

Properties
Crystal system: cubic
DOS at the Fermi energy: 0.698 states/eV/atom
Size of the total moment: 0.0 μB per cell
Formation enthalpy at 0 K: -1.65 eV/f.u.

***

No. 5
A plane-wave DFT calculation with PBE was carried out for crystalline AcDy2IrO8 at its relaxed geometry.

Geometry as CIF:
```
data_AcDy2IrO8
_chemical_formula_sum 'Ac1 Dy2 Ir1 O8'
_cell_length_a 5.096
_cell_length_b 7.053
_cell_length_c 5.104
_cell_angle_alpha 90.00
_cell_angle_beta 90.85
_cell_angle_gamma 90.00
_space_group_name_H-M_alt 'P 1 2/m 1'
_space_group_IT_number 10
_space_group_name_Hall '-P 2y'
loop_
_atom_site_label
_atom_site_fract_x
_atom_site_fract_y
_atom_site_fract_z
Ac1 0.000 0.000 0.000
Dy1 0.500 0.254 0.500
Ir1 0.000 0.500 0.000
O1 0.189 0.303 0.187
O2 0.266 0.500 0.732
O3 0.322 0.000 0.675
```

Properties
Raw formation energy: -2.326 eV per atom
Crystal system: monoclinic
DOS at the Fermi energy: 0.501 states/eV/atom
Size of the total moment: 2.1 μB per cell

***

No. 6
A plane-wave DFT calculation with PBE was carried out for crystalline Ac2DyIr3O12 at its relaxed geometry.

Geometry as CIF:
```
data_Ac2DyIr3O12
_chemical_formula_sum 'Ac6 Dy3 Ir9 O36'
_cell_length_a 7.2306
_cell_length_b 7.2306
_cell_length_c 15.9935
_cell_angle_alpha 90.00
_cell_angle_beta 90.00
_cell_angle_gamma 120.00
_space_group_name_H-M_alt 'R -3 m'
_space_group_IT_number 166
_space_group_name_Hall '-R 3 2"'
loop_
_atom_site_label
_atom_site_fract_x
_atom_site_fract_y
_atom_site_fract_z
Ac1 0.0000 0.0000 0.1167
Dy1 0.0000 0.0000 0.5000
Ir1 0.0000 0.5000 0.0000
O1 0.0355 0.5178 0.8786
O2 0.0494 0.5247 0.3157
```

Properties
Raw formation energy: -1.781 eV per atom
Crystal system: trigonal
DOS at the Fermi energy: 0.533 states/eV/atom
Size of the total moment: 0.0 μB per cell

***

No. 7
A plane-wave DFT calculation with PBE was carried out for crystalline AcDyIrPd at its relaxed geometry.

Geometry as CIF:
```
data_AcDyIrPd
_chemical_formula_sum 'Ac4 Dy4 Ir4 Pd4'
_cell_length_a 7.227
_cell_length_b 7.227
_cell_length_c 7.227
_cell_angle_alpha 90.00
_cell_angle_beta 90.00
_cell_angle_gamma 90.00
_space_group_name_H-M_alt 'F -4 3 m'
_space_group_IT_number 216
_space_group_name_Hall 'F -4 2 3'
loop_
_atom_site_label
_atom_site_fract_x
_atom_site_fract_y
_atom_site_fract_z
Ac1 0.000 0.000 0.000
Dy1 0.000 0.000 0.500
Ir1 0.250 0.250 0.250
Pd1 0.250 0.250 0.750
```

Properties
Crystal system: cubic
DOS at the Fermi energy: 0.746 states/eV/atom
Size of the total moment: 0.0 μB per cell
Formation enthalpy at 0 K: -2.73 eV/f.u.

***

No. 8
A plane-wave DFT calculation with PBE was carried out for crystalline AcDyIrPt at its relaxed geometry.

Geometry as CIF:
```
data_AcDyIrPt
_chemical_formula_sum 'Ac4 Dy4 Ir4 Pt4'
_cell_length_a 7.217
_cell_length_b 7.217
_cell_length_c 7.217
_cell_angle_alpha 90.00
_cell_angle_beta 90.00
_cell_angle_gamma 90.00
_space_group_name_H-M_alt 'F -4 3 m'
_space_group_IT_number 216
_space_group_name_Hall 'F -4 2 3'
loop_
_atom_site_label
_atom_site_fract_x
_atom_site_fract_y
_atom_site_fract_z
Ac1 0.000 0.000 0.000
Dy1 0.000 0.000 0.500
Ir1 0.250 0.250 0.750
Pt1 0.250 0.250 0.250
```

Properties
Crystal system: cubic
DOS at the Fermi energy: 0.332 states/eV/atom
Size of the total moment: 0.0 μB per cell
Formation enthalpy at 0 K: -3.24 eV/f.u.